# 1
## GaW2I (PBE)

Data for an optimized crystal structure of GaW2I.

Values from the calculation:
* E above lowest polymorph: 107 meV per atom
* D(E_F): 3.44 states/eV/f.u.

Unit cell a=9.7686 b=9.7686 c=9.7686 alpha=155.10 beta=155.10 gamma=35.51
Element x y z (fractional)
Ga1 0.0000 0.0000 0.0000
Ga2 0.7500 0.2500 0.5000
W1 0.0562 0.6250 0.9312
W2 0.3750 0.3062 0.4312
W3 0.6938 0.1250 0.0688
W4 0.8750 0.9438 0.5688
I1 0.2500 0.7500 0.5000
I2 0.5000 0.5000 0.0000

=====

# 2
## Ga2WI (PBE)

Data for an optimized crystal structure of Ga2WI.

Values from the calculation:
* E above lowest polymorph: 74 meV per atom
* D(E_F): 2.91 states/eV/f.u.

Unit cell a=4.8146 b=4.8146 c=4.8146 alpha=60.00 beta=60.00 gamma=60.00
Element x y z (fractional)
Ga1 0.2500 0.2500 0.2500
Ga2 0.7500 0.7500 0.7500
W1 0.0000 0.0000 0.0000
I1 0.5000 0.5000 0.5000

=====

# 3
## Ga2WI (PBE)

Data for an optimized crystal structure of Ga2WI.

Values from the calculation:
* E above lowest polymorph: 0 meV per atom
* D(E_F): 3.24 states/eV/f.u.

Unit cell a=7.9026 b=7.9026 c=7.9026 alpha=133.17 beta=133.17 gamma=68.39
Element x y z (fractional)
Ga1 0.0502 0.6250 0.9252
Ga2 0.3750 0.3002 0.4252
Ga3 0.6998 0.1250 0.0748
Ga4 0.8750 0.9498 0.5748
W1 0.0000 0.0000 0.0000
W2 0.7500 0.2500 0.5000
I1 0.2500 0.7500 0.5000
I2 0.5000 0.5000 0.0000

=====

# 4
## YGaI2 (PBE)

Data for an optimized crystal structure of YGaI2.

Values from the calculation:
* E above lowest polymorph: 110 meV per atom
* D(E_F): 3.21 states/eV/f.u.

Unit cell a=5.4877 b=5.4877 c=5.4877 alpha=60.00 beta=60.00 gamma=60.00
Element x y z (fractional)
Y1 0.0000 0.0000 0.0000
Ga1 0.5000 0.5000 0.5000
I1 0.2500 0.2500 0.2500
I2 0.7500 0.7500 0.7500

=====

# 5
## YGa2I (PBE)

Data for an optimized crystal structure of YGa2I.

Values from the calculation:
* E above lowest polymorph: 136 meV per atom
* D(E_F): 4.55 states/eV/f.u.

Unit cell a=5.3156 b=5.3156 c=5.3156 alpha=60.00 beta=60.00 gamma=60.00
Element x y z (fractional)
Y1 0.0000 0.0000 0.0000
Ga1 0.2500 0.2500 0.2500
Ga2 0.7500 0.7500 0.7500
I1 0.5000 0.5000 0.5000

=====

# 6
## Y4Ga2I5 (PBE)

Data for an optimized crystal structure of Y4Ga2I5.

Values from the calculation:
* D(E_F): 4.85 states/eV/f.u.

Unit cell a=12.0604 b=12.0604 c=8.4628 alpha=91.54 beta=91.54 gamma=20.03
Element x y z (fractional)
Y1 0.0202 0.0202 0.2953
Y2 0.3385 0.3385 0.5603
Y3 0.6615 0.6615 0.4397
Y4 0.9798 0.9798 0.7047
Ga1 0.4494 0.4494 0.4672
Ga2 0.5506 0.5506 0.5328
I1 0.1463 0.1463 0.1741
I2 0.2080 0.2080 0.6802
I3 0.5000 0.5000 0.0000
I4 0.7920 0.7920 0.3198
I5 0.8537 0.8537 0.8259

=====

# 7
## YGa3I (PBE)

Data for an optimized crystal structure of YGa3I.

Values from the calculation:
* E above lowest polymorph: 0 meV per atom
* D(E_F): 4.00 states/eV/f.u.

Unit cell a=5.7954 b=5.7954 c=5.7954 alpha=90.00 beta=90.00 gamma=90.00
Element x y z (fractional)
Y1 0.0000 0.0000 0.0000
Ga1 0.0000 0.0000 0.5000
Ga2 0.0000 0.5000 0.0000
Ga3 0.5000 0.0000 0.0000
I1 0.5000 0.5000 0.5000

=====

# 8
## Y3GaI3 (PBE)

Data for an optimized crystal structure of Y3GaI3.

Values from the calculation:
* D(E_F): 2.83 states/eV/f.u.

Unit cell a=10.5735 b=10.5735 c=10.5735 alpha=109.47 beta=109.47 gamma=109.47
Element x y z (fractional)
Y1 0.0170 0.0341 0.2670
Y2 0.0170 0.4830 0.7500
Y3 0.0341 0.2670 0.0170
Y4 0.2330 0.2670 0.7500
Y5 0.2330 0.4659 0.4830
Y6 0.2670 0.0170 0.0341
Y7 0.2670 0.7500 0.2330
Y8 0.4659 0.4830 0.2330
Y9 0.4830 0.2330 0.4659
Y10 0.4830 0.7500 0.0170
Y11 0.7500 0.0170 0.4830
Y12 0.7500 0.2330 0.2670
Ga1 0.0000 0.2500 0.5000
Ga2 0.2500 0.2500 0.2500
Ga3 0.2500 0.5000 0.0000
Ga4 0.5000 0.0000 0.2500
I1 0.2500 0.7570 0.7430
I2 0.2500 0.9930 0.5070
I3 0.5070 0.2500 0.9930
I4 0.5070 0.7570 0.5140
I5 0.5140 0.5070 0.7570
I6 0.7430 0.2500 0.7570
I7 0.7430 0.9930 0.9860
I8 0.7570 0.5140 0.5070
I9 0.7570 0.7430 0.2500
I10 0.9860 0.7430 0.9930
I11 0.9930 0.5070 0.2500
I12 0.9930 0.9860 0.7430

=====

# 9
## Y3GaI (PBE)

Data for an optimized crystal structure of Y3GaI.

Values from the calculation:
* E above lowest polymorph: 0 meV per atom
* D(E_F): 7.44 states/eV/f.u.

Unit cell a=5.5194 b=5.5194 c=5.5194 alpha=90.00 beta=90.00 gamma=90.00
Element x y z (fractional)
Y1 0.0000 0.0000 0.5000
Y2 0.0000 0.5000 0.0000
Y3 0.5000 0.0000 0.0000
Ga1 0.0000 0.0000 0.0000
I1 0.5000 0.5000 0.5000

=====

# 10
## YGa3I (PBE)

Data for an optimized crystal structure of YGa3I.

Values from the calculation:
* E above lowest polymorph: 126 meV per atom
* D(E_F): 2.41 states/eV/f.u.

Unit cell a=5.5622 b=5.5622 c=5.5622 alpha=90.00 beta=90.00 gamma=90.00
Element x y z (fractional)
Y1 0.0000 0.0000 0.0000
Ga1 0.0000 0.5000 0.5000
Ga2 0.5000 0.0000 0.5000
Ga3 0.5000 0.5000 0.0000
I1 0.5000 0.5000 0.5000

=====

# 11
## YGaI (PBE)

Data for an optimized crystal structure of YGaI.

Values from the calculation:
* E above lowest polymorph: 0 meV per atom
* D(E_F): 0.99 states/eV/f.u.

Unit cell a=4.2081 b=4.2081 c=12.4013 alpha=99.93 beta=99.93 gamma=60.00
Element x y z (fractional)
Y1 0.0562 0.0562 0.1662
Y2 0.9438 0.9438 0.8338
Ga1 0.3424 0.3424 0.0269
Ga2 0.6576 0.6576 0.9731
I1 0.2213 0.2213 0.6695
I2 0.7787 0.7787 0.3305

=====

# 12
## Y2GaI (PBE)

Data for an optimized crystal structure of Y2GaI.

Values from the calculation:
* E above lowest polymorph: 273 meV per atom
* D(E_F): 2.17 states/eV/f.u.

Unit cell a=5.3121 b=5.3121 c=5.3121 alpha=60.00 beta=60.00 gamma=60.00
Element x y z (fractional)
Y1 0.2500 0.2500 0.2500
Y2 0.7500 0.7500 0.7500
Ga1 0.0000 0.0000 0.0000
I1 0.5000 0.5000 0.5000

=====

# 13
## Y2GaI (PBE)

Data for an optimized crystal structure of Y2GaI.

Values from the calculation:
* E above lowest polymorph: 0 meV per atom
* D(E_F): 2.55 states/eV/f.u.

Unit cell a=7.8173 b=7.8173 c=7.8173 alpha=31.75 beta=31.75 gamma=31.75
Element x y z (fractional)
Y1 0.2332 0.2332 0.2332
Y2 0.7668 0.7668 0.7668
Ga1 0.5000 0.5000 0.5000
I1 0.0000 0.0000 0.0000

=====

# 14
## YGaI2 (PBE)

Data for an optimized crystal structure of YGaI2.

Values from the calculation:
* E above lowest polymorph: 0 meV per atom
* D(E_F): 3.35 states/eV/f.u.

Unit cell a=8.3378 b=8.3378 c=8.3378 alpha=97.43 beta=97.43 gamma=137.84
Element x y z (fractional)
Y1 0.0000 0.0000 0.0000
Y2 0.7500 0.2500 0.5000
Ga1 0.2500 0.7500 0.5000
Ga2 0.5000 0.5000 0.0000
I1 0.3750 0.0275 0.1525
I2 0.7775 0.6250 0.6525
I3 0.8750 0.2225 0.8475
I4 0.9725 0.1250 0.3475

=====

# 15
## YGa2I8 (PBE)

Data for an optimized crystal structure of YGa2I8.

Values from the calculation:
* D(E_F): 4.16 states/eV/f.u.

Unit cell a=8.9988 b=8.9988 c=7.2333 alpha=98.33 beta=98.33 gamma=79.58
Element x y z (fractional)
Y1 0.0000 0.0000 0.0000
Ga1 0.2011 0.2011 0.6719
Ga2 0.7989 0.7989 0.3281
I1 0.0838 0.7259 0.2174
I2 0.1945 0.1945 0.2907
I3 0.2741 0.9162 0.7826
I4 0.3832 0.3832 0.8413
I5 0.6168 0.6168 0.1587
I6 0.7259 0.0838 0.2174
I7 0.8055 0.8055 0.7093
I8 0.9162 0.2741 0.7826

=====

# 16
## YGaI (PBE)

Data for an optimized crystal structure of YGaI.

Values from the calculation:
* E above lowest polymorph: 0 meV per atom
* D(E_F): 0.97 states/eV/f.u.

Unit cell a=4.2088 b=4.2088 c=12.2044 alpha=90.00 beta=90.00 gamma=120.00
Element x y z (fractional)
Y1 0.0000 0.0000 0.1655
Y2 0.0000 0.0000 0.8345
Ga1 0.3333 0.6667 0.9732
Ga2 0.6667 0.3333 0.0268
I1 0.3333 0.6667 0.3291
I2 0.6667 0.3333 0.6709

=====

# 17
## YGaI4 (PBE)

Data for an optimized crystal structure of YGaI4.

Values from the calculation:
* D(E_F): 0.00 states/eV/f.u.

Unit cell a=8.7771 b=8.7771 c=8.1631 alpha=115.53 beta=115.53 gamma=29.55
Element x y z (fractional)
Y1 0.0000 0.0000 0.0000
Ga1 0.5000 0.5000 0.5000
I1 0.1135 0.1135 0.8065
I2 0.3849 0.3849 0.7422
I3 0.6151 0.6151 0.2578
I4 0.8865 0.8865 0.1935

=====

# 18
## YGa3I6 (PBE)

Data for an optimized crystal structure of YGa3I6.

Values from the calculation:
* D(E_F): 0.00 states/eV/f.u.

Unit cell a=7.8593 b=8.8962 c=13.7723 alpha=90.00 beta=122.07 gamma=90.00
Element x y z (fractional)
Y1 0.0000 0.0000 0.0000
Y2 0.0000 0.5000 0.5000
Ga1 0.3228 0.1100 0.8067
Ga2 0.3228 0.3900 0.3067
Ga3 0.5000 0.0000 0.5000
Ga4 0.5000 0.5000 0.0000
Ga5 0.6772 0.6100 0.6933
Ga6 0.6772 0.8900 0.1933
I1 0.0947 0.0581 0.2416
I2 0.0947 0.4419 0.7416
I3 0.2485 0.7122 0.0816
I4 0.2485 0.7878 0.5816
I5 0.3733 0.1729 0.0505
I6 0.3733 0.3271 0.5505
I7 0.6267 0.6729 0.4495
I8 0.6267 0.8271 0.9495
I9 0.7515 0.2122 0.4184
I10 0.7515 0.2878 0.9184
I11 0.9053 0.5581 0.2584
I12 0.9053 0.9419 0.7584

=====

# 19
## Y2GaI (PBE)

Data for an optimized crystal structure of Y2GaI.

Values from the calculation:
* E above lowest polymorph: 41 meV per atom
* D(E_F): 3.58 states/eV/f.u.

Unit cell a=8.0353 b=8.0353 c=8.0353 alpha=30.49 beta=30.49 gamma=30.49
Element x y z (fractional)
Y1 0.0000 0.0000 0.0000
Y2 0.2020 0.2020 0.2020
Ga1 0.6026 0.6026 0.6026
I1 0.4327 0.4327 0.4327

=====

# 20
## YGa2I (PBE)

Data for an optimized crystal structure of YGa2I.

Values from the calculation:
* E above lowest polymorph: 0 meV per atom
* D(E_F): 3.40 states/eV/f.u.

Unit cell a=6.7238 b=6.7238 c=6.7238 alpha=101.84 beta=101.84 gamma=126.14
Element x y z (fractional)
Y1 0.0000 0.0000 0.0000
Y2 0.7500 0.2500 0.5000
Ga1 0.1096 0.1250 0.4846
Ga2 0.3750 0.8904 0.0154
Ga3 0.6404 0.6250 0.5154
Ga4 0.8750 0.3596 0.9846
I1 0.2500 0.7500 0.5000
I2 0.5000 0.5000 0.0000

=====

# 21
## YGaI (PBE)

Data for an optimized crystal structure of YGaI.

Values from the calculation:
* E above lowest polymorph: 168 meV per atom
* D(E_F): 1.03 states/eV/f.u.

Unit cell a=4.1390 b=4.1390 c=13.2911 alpha=98.25 beta=98.25 gamma=60.02
Element x y z (fractional)
Y1 0.1098 0.1098 0.3140
Y2 0.8902 0.8902 0.6860
Ga1 0.1797 0.1797 0.5426
Ga2 0.8203 0.8203 0.4574
I1 0.3954 0.3954 0.1592
I2 0.6046 0.6046 0.8408

=====

# 22
## Y2GaI (PBE)

Data for an optimized crystal structure of Y2GaI.

Values from the calculation:
* E above lowest polymorph: 549 meV per atom
* D(E_F): 0.86 states/eV/f.u.

Unit cell a=8.5679 b=8.5679 c=8.5679 alpha=135.23 beta=135.23 gamma=65.17
Element x y z (fractional)
Y1 0.0712 0.6250 0.9462
Y2 0.3750 0.3212 0.4462
Y3 0.6788 0.1250 0.0538
Y4 0.8750 0.9288 0.5538
Ga1 0.0000 0.0000 0.0000
Ga2 0.7500 0.2500 0.5000
I1 0.2500 0.7500 0.5000
I2 0.5000 0.5000 0.0000

=====

# 23
## Y2Ga2I (PBE)

Data for an optimized crystal structure of Y2Ga2I.

Values from the calculation:
* D(E_F): 2.91 states/eV/f.u.

Unit cell a=8.3170 b=8.3170 c=3.8636 alpha=90.00 beta=90.00 gamma=90.00
Element x y z (fractional)
Y1 0.1832 0.3168 0.0000
Y2 0.3168 0.8168 0.0000
Y3 0.6832 0.1832 0.0000
Y4 0.8168 0.6832 0.0000
Ga1 0.1085 0.6085 0.5000
Ga2 0.3915 0.1085 0.5000
Ga3 0.6085 0.8915 0.5000
Ga4 0.8915 0.3915 0.5000
I1 0.0000 0.0000 0.0000
I2 0.5000 0.5000 0.0000

=====

# 24
## ZnGaI3 (PBE)

Data for an optimized crystal structure of ZnGaI3.

Values from the calculation:
* E above lowest polymorph: 0 meV per atom
* D(E_F): 0.00 states/eV/f.u.

Unit cell a=8.6487 b=8.8705 c=14.4115 alpha=90.00 beta=126.84 gamma=90.00
Element x y z (fractional)
Zn1 0.2170 0.0240 0.1412
Zn2 0.2170 0.4760 0.6412
Zn3 0.7830 0.5240 0.3588
Zn4 0.7830 0.9760 0.8588
Ga1 0.3979 0.7424 0.4919
Ga2 0.3979 0.7576 0.9919
Ga3 0.6021 0.2424 0.0081
Ga4 0.6021 0.2576 0.5081
I1 0.0266 0.7285 0.5207
I2 0.0266 0.7715 0.0207
I3 0.2273 0.0572 0.3244
I4 0.2273 0.4428 0.8244
I5 0.4477 0.5309 0.3213
I6 0.4477 0.9691 0.8213
I7 0.5523 0.0309 0.1787
I8 0.5523 0.4691 0.6787
I9 0.7727 0.5572 0.1756
I10 0.7727 0.9428 0.6756
I11 0.9734 0.2285 0.9793
I12 0.9734 0.2715 0.4793

=====

Number 1: ΔE_f (raw) 1.18 eV per atom. Number 2: ΔE_f (raw) 1.16 eV per atom. Number 3: ΔE_f (raw) 1.09 eV per atom. Number 4: ΔE_f (raw) -0.42 eV per atom. Number 5: ΔE_f (raw) 0.09 eV per atom. Number 6: ΔE_f (raw) -0.93 eV per atom. Number 7: ΔE_f (raw) 0.51 eV per atom. Number 8: ΔE_f (raw) -1.04 eV per atom. Number 9: ΔE_f (raw) -0.09 eV per atom. Number 10: ΔE_f (raw) 0.63 eV per atom. Number 11: ΔE_f (raw) -1.05 eV per atom. Number 12: ΔE_f (raw) -0.44 eV per atom. Number 13: ΔE_f (raw) -0.72 eV per atom. Number 14: ΔE_f (raw) -0.53 eV per atom. Number 15: ΔE_f (raw) -0.74 eV per atom. Number 16: ΔE_f (raw) -1.05 eV per atom. Number 17: ΔE_f (raw) -1.05 eV per atom. Number 18: ΔE_f (raw) -0.75 eV per atom. Number 19: ΔE_f (raw) -0.68 eV per atom. Number 20: ΔE_f (raw) -0.05 eV per atom. Number 21: ΔE_f (raw) -0.88 eV per atom. Number 22: ΔE_f (raw) -0.17 eV per atom. Number 23: ΔE_f (raw) -0.58 eV per atom. Number 24: ΔE_f (raw) -0.47 eV per atom.